# Co2NiHg

An optimized crystal structure of Co2NiHg (PBE, Alexandria).

Geometry as POSCAR:
```
Co2NiHg
1.0
-4.117 1.576 -1.419
1.654 -3.296 -2.802
-1.250 -1.908 1.507
Ni Hg Co
1 1 2
direct
0.000 0.500 0.500 Ni
0.500 0.000 0.500 Hg
0.500 0.500 0.000 Co
0.000 0.000 0.000 Co
```

* VASP energy: -18.5 eV for the cell shown
* space-group type: Cmmm